# 1
VASP calculation (GGA-PBE) on an optimized crystal structure of Nd5InHg4.

Energy of formation, eV/f.u.: -4.726
D(E_F), states/eV/atom: 1.21
Magnetization, μB/cell: 1.8

Unit cell a=3.8278 b=3.8278 c=19.4338 alpha=90.00 beta=90.00 gamma=90.00
With the nearest neighbours (Å) after each atom.
Fractional coordinates of all 10 atoms:
1 Nd 0.0000 0.0000 0.0000  8 Hg 3.33
2 Nd 0.0000 0.0000 0.1980  8 Hg 3.31-3.33
3 Nd 0.0000 0.0000 0.3966  4 Hg 3.32, 4 In 3.37
4 Nd 0.0000 0.0000 0.6034  4 Hg 3.32, 4 In 3.37
5 Nd 0.0000 0.0000 0.8020  8 Hg 3.31-3.33
6 In 0.5000 0.5000 0.5000  8 Nd 3.37
7 Hg 0.5000 0.5000 0.0996  8 Nd 3.31-3.33
8 Hg 0.5000 0.5000 0.2979  8 Nd 3.32-3.33
9 Hg 0.5000 0.5000 0.7021  8 Nd 3.32-3.33
10 Hg 0.5000 0.5000 0.9004  8 Nd 3.31-3.33

---

# 2
VASP calculation (GGA-PBE) on an optimized crystal structure of NpPaTcOs.

Energy of formation, eV/f.u.: -0.053
D(E_F), states/eV/atom: 1.51
Magnetization, μB/cell: 3.4

Unit cell a=4.8197 b=4.8197 c=4.8197 alpha=60.00 beta=60.00 gamma=60.00
With the nearest neighbours (Å) after each atom.
Fractional coordinates of all 4 atoms:
1 Np 0.0000 0.0000 0.0000  4 Os 2.95, 4 Tc 2.95
2 Pa 0.5000 0.5000 0.5000  4 Os 2.95, 4 Tc 2.95
3 Tc 0.2500 0.2500 0.2500  4 Pa 2.95, 4 Np 2.95
4 Os 0.7500 0.7500 0.7500  4 Pa 2.95, 4 Np 2.95

---

# 3
VASP calculation (GGA-PBE) on an optimized crystal structure of HoTmN2.

D(E_F), states/eV/atom: 0.01
Magnetization, μB/cell: 0.0

Unit cell a=3.3715 b=3.3715 c=5.9264 alpha=90.00 beta=90.00 gamma=120.00
With the nearest neighbours (Å) after each atom.
Fractional coordinates of all 4 atoms:
1 Ho 0.0000 0.0000 0.0000  6 N 2.46
2 Tm 0.0000 0.0000 0.5000  6 N 2.44
3 N 0.3333 0.6667 0.2528  3 Tm 2.44, 3 Ho 2.46
4 N 0.6667 0.3333 0.7472  3 Tm 2.44, 3 Ho 2.46

---

# 4
VASP calculation (GGA-PBE) on an optimized crystal structure of Ho5Bi4Te.

D(E_F), states/eV/atom: 0.26
Magnetization, μB/cell: 0.0

Unit cell a=7.6830 b=7.6830 c=7.6830 alpha=99.60 beta=99.60 gamma=131.78
With the nearest neighbours (Å) after each atom.
Fractional coordinates of all 10 atoms:
1 Ho 0.0000 0.0000 0.0000  4 Bi 3.13, 2 Te 3.14
2 Ho 0.1984 0.6007 0.7991  5 Bi 3.12-3.15, 1 Te 3.15
3 Ho 0.3993 0.1984 0.5977  5 Bi 3.12-3.15, 1 Te 3.15
4 Ho 0.6007 0.8016 0.4023  5 Bi 3.12-3.15, 1 Te 3.15
5 Ho 0.8016 0.3993 0.2009  5 Bi 3.12-3.15, 1 Te 3.15
6 Bi 0.1003 0.2991 0.3994  6 Ho 3.12-3.15
7 Bi 0.2991 0.8997 0.1988  6 Ho 3.12-3.15
8 Bi 0.7009 0.1003 0.8012  6 Ho 3.12-3.15
9 Bi 0.8997 0.7009 0.6006  6 Ho 3.12-3.15
10 Te 0.5000 0.5000 0.0000  6 Ho 3.14-3.15

---

Calculated total energy (eV/atom), listed in the same order as above: -3.251; -11.021; -7.853; -5.098